Entry from Alexandria via LeMat-Bulk: RbMgSn after structural relaxation (PBE-GGA).

```
data_RbMgSn
_symmetry_space_group_name_H-M 'I 4 m m'
_symmetry_Int_Tables_number 107
_symmetry_space_group_name_Hall 'I 4 -2'
_cell_length_a 4.101
_cell_length_b 4.101
_cell_length_c 13.324
_cell_angle_alpha 90.00
_cell_angle_beta 90.00
_cell_angle_gamma 90.00
loop_
_atom_site_label
_atom_site_type_symbol
_atom_site_fract_x
_atom_site_fract_y
_atom_site_fract_z
_atom_site_occupancy
Rb1 Rb 0.000 0.000 0.000 1
Mg1 Mg 0.000 0.000 0.729 1
Sn1 Sn 0.000 0.000 0.287 1
```

Summary:
formation enthalpy at 0 K: -0.72 kJ per mole of atoms
offset from the most stable computed form: 180 meV per atom
DOS at the Fermi energy: 1.39 states/eV/f.u.



Entry from Alexandria via LeMat-Bulk: Ce2YSe2N2 after structural relaxation (PBE-GGA).

```
data_Ce2YSe2N2
_symmetry_space_group_name_H-M 'C 1 2/m 1'
_symmetry_Int_Tables_number 12
_symmetry_space_group_name_Hall '-C 2y'
_cell_length_a 12.546
_cell_length_b 3.939
_cell_length_c 7.174
_cell_angle_alpha 90.00
_cell_angle_beta 122.15
_cell_angle_gamma 90.00
loop_
_atom_site_label
_atom_site_type_symbol
_atom_site_fract_x
_atom_site_fract_y
_atom_site_fract_z
_atom_site_occupancy
Ce1 Ce 0.197 0.000 0.257 1
Y1 Y 0.000 0.000 0.500 1
Se1 Se 0.070 0.500 0.837 1
N1 N 0.204 0.000 0.582 1
```

Summary:
formation energy (no corrections): -1.767 eV per atom
DOS at the Fermi energy: 9.05 states/eV/f.u.



Entry from Alexandria via LeMat-Bulk: PuHgGe after structural relaxation (PBE-GGA).

```
data_PuHgGe
_symmetry_space_group_name_H-M 'P -6 m 2'
_symmetry_Int_Tables_number 187
_symmetry_space_group_name_Hall 'P -6 2'
_cell_length_a 4.8795
_cell_length_b 4.8795
_cell_length_c 3.3284
_cell_angle_alpha 90.00
_cell_angle_beta 90.00
_cell_angle_gamma 120.00
loop_
_atom_site_label
_atom_site_type_symbol
_atom_site_fract_x
_atom_site_fract_y
_atom_site_fract_z
_atom_site_occupancy
Pu1 Pu 0.0000 0.0000 0.0000 1
Hg1 Hg 0.3333 0.6667 0.5000 1
Ge1 Ge 0.6667 0.3333 0.5000 1
```

Summary:
formation enthalpy at 0 K: -16.45 kJ per mole of atoms
DOS at the Fermi energy: 9.49 states/eV/f.u.



Entry from Alexandria via LeMat-Bulk: LaMgMn after structural relaxation (PBE-GGA).

```
data_LaMgMn
_symmetry_space_group_name_H-M 'P -6 m 2'
_symmetry_Int_Tables_number 187
_symmetry_space_group_name_Hall 'P -6 2'
_cell_length_a 5.0210
_cell_length_b 5.0210
_cell_length_c 3.5002
_cell_angle_alpha 90.00
_cell_angle_beta 90.00
_cell_angle_gamma 120.00
loop_
_atom_site_label
_atom_site_type_symbol
_atom_site_fract_x
_atom_site_fract_y
_atom_site_fract_z
_atom_site_occupancy
La1 La 0.0000 0.0000 0.0000 1
Mg1 Mg 0.3333 0.6667 0.5000 1
Mn1 Mn 0.6667 0.3333 0.5000 1
```

Summary:
formation enthalpy at 0 K: 21.71 kJ per mole of atoms
DOS at the Fermi energy: 3.66 states/eV/f.u.



Entry from Alexandria via LeMat-Bulk: Ba2NaSrTl after structural relaxation (PBE-GGA).

```
data_Ba2NaSrTl
_symmetry_space_group_name_H-M 'P 4/m m m'
_symmetry_Int_Tables_number 123
_symmetry_space_group_name_Hall '-P 4 2'
_cell_length_a 6.798
_cell_length_b 6.798
_cell_length_c 6.021
_cell_angle_alpha 90.00
_cell_angle_beta 90.00
_cell_angle_gamma 90.00
loop_
_atom_site_label
_atom_site_type_symbol
_atom_site_fract_x
_atom_site_fract_y
_atom_site_fract_z
_atom_site_occupancy
Ba1 Ba 0.000 0.500 0.000 1
Na1 Na 0.000 0.000 0.500 1
Sr1 Sr 0.500 0.500 0.500 1
Tl1 Tl 0.000 0.000 0.000 1
```

Summary:
formation enthalpy at 0 K: 1.50 kJ per mole of atoms
offset from the most stable computed form: 54 meV per atom
DOS at the Fermi energy: 4.77 states/eV/f.u.



Entry from Alexandria via LeMat-Bulk: Ho2Er3Tm7 after structural relaxation (PBE-GGA).

```
data_Ho2Er3Tm7
_symmetry_space_group_name_H-M 'P 1 2/m 1'
_symmetry_Int_Tables_number 10
_symmetry_space_group_name_Hall '-P 2y'
_cell_length_a 6.211
_cell_length_b 3.461
_cell_length_c 17.116
_cell_angle_alpha 90.00
_cell_angle_beta 96.30
_cell_angle_gamma 90.00
loop_
_atom_site_label
_atom_site_type_symbol
_atom_site_fract_x
_atom_site_fract_y
_atom_site_fract_z
_atom_site_occupancy
Ho1 Ho 0.062 0.000 0.174 1
Er1 Er 0.448 0.500 0.843 1
Er2 Er 0.500 0.000 0.500 1
Tm1 Tm 0.000 0.500 0.500 1
Tm2 Tm 0.224 0.000 0.667 1
Tm3 Tm 0.255 0.000 0.999 1
Tm4 Tm 0.275 0.500 0.335 1
```

Summary:
formation enthalpy at 0 K: 8.12 kJ per mole of atoms
offset from the most stable computed form: 0 meV per atom
DOS at the Fermi energy: 17.63 states/eV/f.u.



Entry from Alexandria via LeMat-Bulk: RuRhPb2 after structural relaxation (PBE-GGA).

```
data_RuRhPb2
_symmetry_space_group_name_H-M 'R -3 m'
_symmetry_Int_Tables_number 166
_symmetry_space_group_name_Hall '-R 3 2"'
_cell_length_a 3.3539
_cell_length_b 3.3539
_cell_length_c 24.4215
_cell_angle_alpha 90.00
_cell_angle_beta 90.00
_cell_angle_gamma 120.00
loop_
_atom_site_label
_atom_site_type_symbol
_atom_site_fract_x
_atom_site_fract_y
_atom_site_fract_z
_atom_site_occupancy
Ru1 Ru 0.0000 0.0000 0.0000 1
Rh1 Rh 0.0000 0.0000 0.5000 1
Pb1 Pb 0.0000 0.0000 0.2503 1
```

Summary:
formation enthalpy at 0 K: 33.51 kJ per mole of atoms
offset from the most stable computed form: 77 meV per atom
DOS at the Fermi energy: 2.74 states/eV/f.u.



Entry from Alexandria via LeMat-Bulk: DyCdCl after structural relaxation (PBE-GGA).

```
data_DyCdCl
_symmetry_space_group_name_H-M 'A m m 2'
_symmetry_Int_Tables_number 38
_symmetry_space_group_name_Hall 'A 2 -2'
_cell_length_a 15.698
_cell_length_b 3.622
_cell_length_c 6.275
_cell_angle_alpha 90.00
_cell_angle_beta 90.00
_cell_angle_gamma 90.00
loop_
_atom_site_label
_atom_site_type_symbol
_atom_site_fract_x
_atom_site_fract_y
_atom_site_fract_z
_atom_site_occupancy
Dy1 Dy 0.155 0.000 0.000 1
Cd1 Cd 0.000 0.000 0.667 1
Cd2 Cd 0.500 0.000 0.968 1
Cl1 Cl 0.271 0.000 0.667 1
```

Summary:
formation energy (no corrections): -0.911 eV per atom
DOS at the Fermi energy: 1.58 states/eV/f.u.



Entry from Alexandria via LeMat-Bulk: Fe3SeN after structural relaxation (PBE-GGA).

```
data_Fe3SeN
_symmetry_space_group_name_H-M 'P m -3 m'
_symmetry_Int_Tables_number 221
_symmetry_space_group_name_Hall '-P 4 2 3'
_cell_length_a 4.517
_cell_length_b 4.517
_cell_length_c 4.517
_cell_angle_alpha 90.00
_cell_angle_beta 90.00
_cell_angle_gamma 90.00
loop_
_atom_site_label
_atom_site_type_symbol
_atom_site_fract_x
_atom_site_fract_y
_atom_site_fract_z
_atom_site_occupancy
Fe1 Fe 0.000 0.000 0.500 1
Se1 Se 0.000 0.000 0.000 1
N1 N 0.500 0.500 0.500 1
```

Summary:
offset from the most stable computed form: 1602 meV per atom
formation energy (no corrections): 1.716 eV per atom
DOS at the Fermi energy: 8.79 states/eV/f.u.



Entry from Alexandria via LeMat-Bulk: ScPd3Au2 after structural relaxation (PBE-GGA).

```
data_ScPd3Au2
_symmetry_space_group_name_H-M 'C 1 2/m 1'
_symmetry_Int_Tables_number 12
_symmetry_space_group_name_Hall '-C 2y'
_cell_length_a 14.686
_cell_length_b 4.030
_cell_length_c 8.159
_cell_angle_alpha 90.00
_cell_angle_beta 122.87
_cell_angle_gamma 90.00
loop_
_atom_site_label
_atom_site_type_symbol
_atom_site_fract_x
_atom_site_fract_y
_atom_site_fract_z
_atom_site_occupancy
Sc1 Sc 0.093 0.000 0.244 1
Pd1 Pd 0.080 0.000 0.704 1
Pd2 Pd 0.084 0.500 0.460 1
Pd3 Pd 0.249 0.500 0.373 1
Au1 Au 0.079 0.500 0.954 1
Au2 Au 0.248 0.500 0.869 1
```

Summary:
formation enthalpy at 0 K: -50.64 kJ per mole of atoms
offset from the most stable computed form: 85 meV per atom
DOS at the Fermi energy: 2.95 states/eV/f.u.



Entry from Alexandria via LeMat-Bulk: NaMg2InPb after structural relaxation (PBE-GGA).

```
data_NaMg2InPb
_symmetry_space_group_name_H-M 'P 4/m m m'
_symmetry_Int_Tables_number 123
_symmetry_space_group_name_Hall '-P 4 2'
_cell_length_a 5.390
_cell_length_b 5.390
_cell_length_c 5.542
_cell_angle_alpha 90.00
_cell_angle_beta 90.00
_cell_angle_gamma 90.00
loop_
_atom_site_label
_atom_site_type_symbol
_atom_site_fract_x
_atom_site_fract_y
_atom_site_fract_z
_atom_site_occupancy
Na1 Na 0.000 0.000 0.000 1
Mg1 Mg 0.000 0.500 0.000 1
In1 In 0.500 0.500 0.500 1
Pb1 Pb 0.000 0.000 0.500 1
```

Summary:
formation enthalpy at 0 K: 53.35 kJ per mole of atoms
DOS at the Fermi energy: 3.52 states/eV/f.u.



Entry from Alexandria via LeMat-Bulk: PmSc2Cu2Si2 after structural relaxation (PBE-GGA).

```
data_PmSc2Cu2Si2
_symmetry_space_group_name_H-M 'R -3 m'
_symmetry_Int_Tables_number 166
_symmetry_space_group_name_Hall '-R 3 2"'
_cell_length_a 4.1897
_cell_length_b 4.1897
_cell_length_c 25.9159
_cell_angle_alpha 90.00
_cell_angle_beta 90.00
_cell_angle_gamma 120.00
loop_
_atom_site_label
_atom_site_type_symbol
_atom_site_fract_x
_atom_site_fract_y
_atom_site_fract_z
_atom_site_occupancy
Pm1 Pm 0.0000 0.0000 0.0000 1
Sc1 Sc 0.0000 0.0000 0.1316 1
Cu1 Cu 0.0000 0.0000 0.4135 1
Si1 Si 0.0000 0.0000 0.2531 1
```

Summary:
formation energy (no corrections): -0.528 eV per atom
DOS at the Fermi energy: 4.00 states/eV/f.u.